# 1
VASP calculation (PBE) on SnPb2Au after structural relaxation.

Computed properties:
DFT formation energy: 0.0376 eV/atom
electronic total energy: -3.637 eV per atom

Structure (POSCAR):
```
SnPb2Au
1.0
4.7499 0.0000 0.0000
0.0000 4.7499 0.0000
0.0000 0.0000 4.7466
Sn Pb Au
1 2 1
direct
0.0000 0.0000 0.0000 Sn
0.0000 0.5000 0.5000 Pb
0.5000 0.0000 0.5000 Pb
0.5000 0.5000 0.0000 Au
```

# 2
VASP calculation (PBE) on YTmThZn after structural relaxation.

Computed properties:
DFT formation energy: -0.1700 eV/atom
electronic total energy: -5.077 eV per atom

Structure (POSCAR):
```
YTmThZn
1.0
3.5558 0.0000 0.0000
0.0000 3.5558 0.0000
0.0000 0.0000 8.5266
Y Tm Th Zn
1 1 1 1
direct
0.0000 0.0000 0.0000 Y
0.0000 0.0000 0.5804 Tm
0.5000 0.5000 0.2941 Th
0.5000 0.5000 0.7836 Zn
```

# 3
VASP calculation (PBE) on Ce4ThPt5 after structural relaxation.

Computed properties:
DFT formation energy: -1.0795 eV/atom
electronic total energy: -7.215 eV per atom

Structure (POSCAR):
```
Ce4ThPt5
1.0
-4.6449 4.6449 2.9407
4.6449 -4.6449 2.9407
4.6449 4.6449 -2.9407
Ce Th Pt
4 1 5
direct
0.1015 0.7001 0.8016 Ce
0.2999 0.1015 0.4013 Ce
0.7001 0.8985 0.5987 Ce
0.8985 0.2999 0.1984 Ce
0.5000 0.5000 0.0000 Th
0.0000 0.0000 0.0000 Pt
0.1998 0.4005 0.6004 Pt
0.4005 0.8002 0.2007 Pt
0.5995 0.1998 0.7993 Pt
0.8002 0.5995 0.3996 Pt
```

# 4
VASP calculation (PBE) on ScP2WS after structural relaxation.

Computed properties:
offset from the most stable computed form: 612.7 meV/atom
E_form (uncorrected): 0.66 eV/atom
electronic total energy: -6.181 eV per atom

Structure (POSCAR):
```
ScP2WS
1.0
4.6746 0.0000 0.0000
0.0000 4.6746 0.0000
0.0000 0.0000 4.3238
Sc P W S
1 2 1 1
direct
0.0000 0.0000 0.0000 Sc
0.0000 0.5000 0.5000 P
0.5000 0.0000 0.5000 P
0.5000 0.5000 0.0000 W
0.5000 0.5000 0.5000 S
```

# 5
VASP calculation (PBE) on CaCeTm2Hg4 after structural relaxation.

Computed properties:
DFT formation energy: -0.4398 eV/atom
electronic total energy: -2.701 eV per atom

Structure (POSCAR):
```
CaCeTm2Hg4
1.0
2.6400 1.5242 8.6897
-2.6400 1.5242 8.6897
0.0000 -3.0484 8.6897
Ca Ce Tm Hg
1 1 2 4
direct
0.0000 0.0000 0.0000 Ca
0.5000 0.5000 0.5000 Ce
0.2515 0.2515 0.2515 Tm
0.7485 0.7485 0.7485 Tm
0.1236 0.1236 0.1236 Hg
0.3749 0.3749 0.3749 Hg
0.6251 0.6251 0.6251 Hg
0.8764 0.8764 0.8764 Hg
```

# 6
VASP calculation (PBE) on Np4Tl3S8 after structural relaxation.

Computed properties:
E_form (uncorrected): -0.93 eV/atom
electronic total energy: -7.051 eV per atom

Structure (POSCAR):
```
Np4Tl3S8
1.0
5.8410 -5.8812 0.0000
5.8410 5.8812 0.0000
-5.4755 0.0000 5.9184
Np Tl S
4 3 8
direct
0.0000 0.0000 0.0000 Np
0.0000 0.0000 0.5000 Np
0.0000 0.5000 0.0000 Np
0.5000 0.0000 0.0000 Np
0.0000 0.5000 0.5000 Tl
0.5000 0.0000 0.5000 Tl
0.5000 0.5000 0.5000 Tl
0.2006 0.2006 0.4465 S
0.2215 0.2215 0.9671 S
0.2291 0.7709 0.5000 S
0.2298 0.7702 0.0000 S
0.7702 0.2298 0.0000 S
0.7709 0.2291 0.5000 S
0.7785 0.7785 0.0329 S
0.7994 0.7994 0.5535 S
```

# 7
VASP calculation (PBE) on K2LiTe4As after structural relaxation.

Computed properties:
E_form (uncorrected): -0.52 eV/atom
electronic total energy: -3.187 eV per atom

Structure (POSCAR):
```
K2LiTe4As
1.0
0.0000 8.4840 12.7797
2.7803 0.0000 12.7797
2.7803 8.4840 0.0000
K Li Te As
4 2 8 2
direct
0.0537 0.0537 0.6963 K
0.3037 0.3037 0.9463 K
0.6963 0.6963 0.0537 K
0.9463 0.9463 0.3037 K
0.1250 0.1250 0.1250 Li
0.8750 0.8750 0.8750 Li
0.0025 0.6082 0.5448 Te
0.3446 0.5448 0.6082 Te
0.3918 0.9975 0.6554 Te
0.4552 0.6554 0.9975 Te
0.5448 0.3446 0.0025 Te
0.6082 0.0025 0.3446 Te
0.6554 0.4552 0.3918 Te
0.9975 0.3918 0.4552 Te
0.3750 0.3750 0.3750 As
0.6250 0.6250 0.6250 As
```

# 8
VASP calculation (PBE) on Li3InHg3 after structural relaxation.

Computed properties:
DFT formation energy: -0.2803 eV/atom
offset from the most stable computed form: 0.0 meV/atom
electronic total energy: -1.621 eV per atom

Structure (POSCAR):
```
Li3InHg3
1.0
4.5949 -4.8285 0.0000
4.5949 4.8285 0.0000
0.0000 0.0000 6.4391
Li In Hg
6 2 6
direct
0.0000 0.0000 0.2452 Li
0.0000 0.0000 0.7548 Li
0.0000 0.5000 0.2493 Li
0.0000 0.5000 0.7507 Li
0.5000 0.0000 0.2493 Li
0.5000 0.0000 0.7507 Li
0.3057 0.3057 0.0000 In
0.6943 0.6943 0.0000 In
0.2429 0.7571 0.0000 Hg
0.2564 0.7436 0.5000 Hg
0.2746 0.2746 0.5000 Hg
0.7254 0.7254 0.5000 Hg
0.7436 0.2564 0.5000 Hg
0.7571 0.2429 0.0000 Hg
```

# 9
VASP calculation (PBE) on Sr2SO after structural relaxation.

Computed properties:
offset from the most stable computed form: 438.2 meV/atom
E_form (uncorrected): -1.90 eV/atom
electronic total energy: -5.013 eV per atom

Structure (POSCAR):
```
Sr2SO
1.0
0.0000 3.4525 3.4525
3.4525 0.0000 3.4525
3.4525 3.4525 0.0000
Sr S O
2 1 1
direct
0.2500 0.2500 0.2500 Sr
0.7500 0.7500 0.7500 Sr
0.0000 0.0000 0.0000 S
0.5000 0.5000 0.5000 O
```

# 10
VASP calculation (PBE) on SrReI2O after structural relaxation.

Computed properties:
E_form (uncorrected): -0.59 eV/atom
electronic total energy: -5.028 eV per atom

Structure (POSCAR):
```
SrReI2O
1.0
5.8015 0.0000 0.0000
0.0000 5.8015 0.0000
0.0000 0.0000 3.8472
Sr Re I O
1 1 2 1
direct
0.0000 0.0000 0.0000 Sr
0.5000 0.5000 0.5000 Re
0.0000 0.5000 0.5000 I
0.5000 0.0000 0.5000 I
0.5000 0.5000 0.0000 O
```

# 11
VASP calculation (PBE) on HfZn4Ni15 after structural relaxation.

Computed properties:
DFT formation energy: -0.1875 eV/atom
electronic total energy: -5.276 eV per atom

Structure (POSCAR):
```
HfZn4Ni15
1.0
3.6280 0.0000 0.0000
0.0000 3.6280 0.0000
0.0000 0.0000 17.8739
Hf Zn Ni
1 4 15
direct
0.0000 0.0000 0.0000 Hf
0.0000 0.0000 0.2057 Zn
0.0000 0.0000 0.4016 Zn
0.0000 0.0000 0.5984 Zn
0.0000 0.0000 0.7943 Zn
0.0000 0.5000 0.1069 Ni
0.0000 0.5000 0.3035 Ni
0.0000 0.5000 0.5000 Ni
0.0000 0.5000 0.6965 Ni
0.0000 0.5000 0.8931 Ni
0.5000 0.0000 0.1069 Ni
0.5000 0.0000 0.3035 Ni
0.5000 0.0000 0.5000 Ni
0.5000 0.0000 0.6965 Ni
0.5000 0.0000 0.8931 Ni
0.5000 0.5000 0.0000 Ni
0.5000 0.5000 0.2048 Ni
0.5000 0.5000 0.4020 Ni
0.5000 0.5000 0.5980 Ni
0.5000 0.5000 0.7952 Ni
```

# 12
VASP calculation (PBE) on Cs2SnBiS4 after structural relaxation.

Computed properties:
E_form (uncorrected): -0.59 eV/atom
electronic total energy: -3.852 eV per atom

Structure (POSCAR):
```
Cs2SnBiS4
1.0
0.0000 7.6352 12.4236
3.4186 0.0000 12.4236
3.4186 7.6352 0.0000
Cs Sn Bi S
4 2 2 8
direct
0.0559 0.0559 0.6941 Cs
0.3059 0.3059 0.9441 Cs
0.6941 0.6941 0.0559 Cs
0.9441 0.9441 0.3059 Cs
0.3750 0.3750 0.3750 Sn
0.6250 0.6250 0.6250 Sn
0.1250 0.1250 0.1250 Bi
0.8750 0.8750 0.8750 Bi
0.0204 0.3369 0.4329 S
0.2901 0.5671 0.6631 S
0.3369 0.0204 0.7099 S
0.4329 0.7099 0.0204 S
0.5671 0.2901 0.9796 S
0.6631 0.9796 0.2901 S
0.7099 0.4329 0.3369 S
0.9796 0.6631 0.5671 S
```